No. 1
A geometry-optimized CuPbS2N structure, computed with PBE.

Raw formation energy, eV/atom: 1.4124
Total magnetic moment, μB per cell: 2.2
Symmetry: P4/mmm (123)

Cell: 5.163 5.163 4.213 Å, 90.00 90.00 90.00°
Each line ends with the local moment (μB).
Positions (direct):
Pb (0.000, 0.000, 0.000)  -0.03
S (0.500, 0.000, 0.000)  0.21
S (0.000, 0.500, 0.000)  0.21
Cu (0.500, 0.500, 0.500)  0.13
N (0.000, 0.000, 0.500)  0.98


No. 2
A geometry-optimized SmY12Ho7 structure, computed with PBE.

Total magnetic moment, μB per cell: 0.0
Symmetry: R-3 (148)
Energy relative to the elements, meV per atom: 288

Cell: 8.700 8.700 8.700 Å, 95.24 95.24 95.24°
Positions (direct):
Ho (0.500, 0.500, 0.500)
Ho (0.353, 0.021, 0.083)
Ho (0.083, 0.353, 0.021)
Ho (0.917, 0.647, 0.979)
Ho (0.021, 0.083, 0.353)
Ho (0.979, 0.917, 0.647)
Ho (0.647, 0.979, 0.917)
Y (0.814, 0.250, 0.686)
Y (0.852, 0.584, 0.522)
Y (0.478, 0.148, 0.416)
Y (0.750, 0.314, 0.186)
Y (0.148, 0.416, 0.478)
Y (0.686, 0.814, 0.250)
Y (0.314, 0.186, 0.750)
Y (0.584, 0.522, 0.852)
Y (0.522, 0.852, 0.584)
Y (0.250, 0.686, 0.814)
Y (0.416, 0.478, 0.148)
Y (0.186, 0.750, 0.314)
Sm (0.000, 0.000, 0.000)


No. 3
A geometry-optimized PrH9Rh2 structure, computed with PBE.

Total magnetic moment, μB per cell: 0.0
Symmetry: I4_1/amd (141)
Calculated total energy, eV per atom: -4.15

Cell: 8.154 6.200 6.200 Å, 64.38 48.89 48.89°
Positions (direct):
H (0.402, 0.015, 0.710)
H (0.348, 0.790, 0.485)
H (0.623, 0.515, 0.210)
H (0.127, 0.290, 0.985)
H (0.861, 0.515, 0.790)
H (0.583, 0.290, 0.015)
H (0.750, 0.500, 0.500)
H (0.000, 0.000, 0.000)
H (0.889, 0.710, 0.985)
H (0.348, 0.485, 0.790)
H (0.861, 0.790, 0.515)
H (0.623, 0.210, 0.515)
H (0.167, 0.485, 0.210)
H (0.583, 0.015, 0.290)
H (0.402, 0.710, 0.015)
H (0.167, 0.210, 0.485)
H (0.889, 0.985, 0.710)
H (0.127, 0.985, 0.290)
Rh (0.875, 0.750, 0.250)
Rh (0.875, 0.250, 0.250)
Rh (0.875, 0.250, 0.750)
Rh (0.375, 0.750, 0.750)
Pr (0.250, 0.500, 0.500)
Pr (0.500, 0.000, 0.000)


No. 4
A geometry-optimized Tb4TeIrSe2 structure, computed with PBE.

Raw formation energy, eV/atom: -1.3952
Total magnetic moment, μB per cell: 0.0
Symmetry: P2/m (10)

Cell: 4.104 7.322 7.378 Å, 71.51 90.00 90.00°
Positions (direct):
Tb (0.500, 0.269, 0.718)
Tb (0.000, 0.750, 0.722)
Tb (0.000, 0.250, 0.278)
Tb (0.500, 0.731, 0.282)
Se (0.500, 0.000, 0.500)
Se (0.000, 0.000, 0.000)
Te (0.500, 0.500, 0.000)
Ir (0.000, 0.500, 0.500)


Computed N(E_F), in the same sequence as the records: 4.14, 18.73, 4.28, 6.11 states/eV/cell.